## Dy3LuSc2Bi2Os (PBE-GGA)

Data for crystalline Dy3LuSc2Bi2Os at its relaxed geometry.

Unit cell a=4.228 b=8.044 c=8.044 alpha=119.86 beta=90.00 gamma=90.00
Fractional coordinates of all 9 atoms:
Dy 0.000 0.000 0.000
Dy 0.000 0.381 0.769
Dy 0.000 0.769 0.381
Lu 0.500 0.610 0.610
Sc 0.500 0.158 0.382
Sc 0.500 0.382 0.158
Bi 0.500 0.053 0.717
Bi 0.500 0.717 0.053
Os 0.000 0.376 0.376

Results
**Volume**: 237 Å³/f.u.
**Final energy**: -6.194 eV per atom
**SG**: Amm2 (38)